Compound: LiCoOF2
Source: Alexandria
Functional: PBE+U
Structure: optimized geometry Values from VASP.

```
&SYSTEM
  ibrav = 0, nat = 5, ntyp = 4
/
ATOMIC_SPECIES
Li 6.94 Li.upf
Co 58.93 Co.upf
O 16.00 O.upf
F 19.00 F.upf
CELL_PARAMETERS angstrom
3.5357 0.0000 0.0000
0.0000 3.5357 0.0000
0.0000 0.0000 3.9383
ATOMIC_POSITIONS crystal
Li 0.0000 0.0000 0.0000
Co 0.5000 0.5000 0.5000
O 0.0000 0.0000 0.5000
F 0.0000 0.5000 0.0000
F 0.5000 0.0000 0.0000
```

Energy in Ry/atom: -0.318
Crystal system: tetragonal
E above lowest polymorph in eV/atom: 0.7483